DFT (PBE) results for a relaxed structure of CdPb3Br2Cl6.

Cell: 8.4368 8.4368 6.4479 Å, 92.35 92.35 59.27°
With the nearest neighbours (Å) after each atom.
Atoms (fractional coordinates):
Cd1 0.0000 0.0000 0.0000  6 Cl 2.62-2.74
Pb1 0.0000 0.5000 0.0000  4 Cl 2.92-2.93, 2 Br 3.04
Pb2 0.5000 0.0000 0.0000  4 Cl 2.92-2.93, 2 Br 3.04
Pb3 0.5000 0.5000 0.5000  4 Cl 2.95, 2 Br 3.03
Br1 0.3172 0.3172 0.7009  3 Pb 3.03-3.04
Br2 0.6828 0.6828 0.2991  3 Pb 3.03-3.04
Cl1 0.1545 0.1545 0.2224  1 Cd 2.62, 2 Pb 2.93
Cl2 0.1661 0.6869 0.2304  1 Cd 2.74, 2 Pb 2.92-2.95
Cl3 0.3131 0.8339 0.7696  1 Cd 2.74, 2 Pb 2.92-2.95
Cl4 0.6869 0.1661 0.2304  1 Cd 2.74, 2 Pb 2.92-2.95
Cl5 0.8339 0.3131 0.7696  1 Cd 2.74, 2 Pb 2.92-2.95
Cl6 0.8455 0.8455 0.7776  1 Cd 2.62, 2 Pb 2.93

Its final energy is -3.26 eV/atom. For the formation energy without anion corrections, the calculation gives -1.05 eV per atom. Its space group is C2/m. The calculation puts the density of states at the Fermi level at 0.000 states/eV/f.u.

---

DFT (PBE) results for a relaxed structure of Pu4I5N.

Cell: 9.7087 9.7087 8.6944 Å, 102.60 102.60 23.87°
With the nearest neighbours (Å) after each atom.
Atoms (fractional coordinates):
Pu1 0.0023 0.0023 0.3085  2 N 2.61
Pu2 0.3712 0.3712 0.4393  1 N 2.38
Pu3 0.6288 0.6288 0.5607  1 N 2.38
Pu4 0.9977 0.9977 0.6915  2 N 2.61
I1 0.1649 0.1649 0.8435  3 Pu 3.13-3.16
I2 0.1738 0.1738 0.3186  3 Pu 3.16-3.24
I3 0.5000 0.5000 0.0000  4 Pu 3.34
I4 0.8262 0.8262 0.6814  3 Pu 3.16-3.24
I5 0.8351 0.8351 0.1565  3 Pu 3.13-3.16
N1 0.5000 0.5000 0.5000  6 Pu 2.38-2.61

Its final energy is -8.32 eV/atom. For the formation energy without anion corrections, the calculation gives -0.98 eV per atom. Its space group is C2/m. The calculation puts the density of states at the Fermi level at 36.775 states/eV/f.u.

---

DFT (PBE) results for a relaxed structure of KBa2Li2As2.

Cell: 13.5452 13.5452 13.5452 Å, 19.70 19.70 19.70°
With the nearest neighbours (Å) after each atom.
Atoms (fractional coordinates):
K1 0.0000 0.0000 0.0000  6 Li 3.38, 6 As 3.64
Ba1 0.1083 0.1083 0.1083  3 As 3.25, 3 Li 3.49
Ba2 0.8917 0.8917 0.8917  3 As 3.25, 3 Li 3.49
Li1 0.3853 0.3853 0.3853  3 As 2.71
Li2 0.6147 0.6147 0.6147  3 As 2.71
As1 0.2714 0.2714 0.2714  3 Li 2.71
As2 0.7286 0.7286 0.7286  3 Li 2.71

Its final energy is -3.29 eV/atom. The formation energy comes out at -712 meV/atom. Its space group is R-3m. The calculation puts the density of states at the Fermi level at 2.029 states/eV/f.u.

---

DFT (PBE) results for a relaxed structure of TmMgCd2Pd4.

Cell: 8.0502 8.0502 8.0502 Å, 33.77 33.77 33.77°
With the nearest neighbours (Å) after each atom.
Atoms (fractional coordinates):
Tm1 0.0000 0.0000 0.0000  8 Pd 2.87-2.89
Mg1 0.5000 0.5000 0.5000  8 Pd 2.76-2.85
Cd1 0.2491 0.2491 0.2491  8 Pd 2.80-2.95
Cd2 0.7509 0.7509 0.7509  8 Pd 2.80-2.95
Pd1 0.1262 0.1262 0.1262  4 Cd 2.80-2.86, 3 Mg 2.85, 1 Tm 2.87
Pd2 0.3788 0.3788 0.3788  1 Mg 2.76, 4 Cd 2.84-2.95, 3 Tm 2.89
Pd3 0.6212 0.6212 0.6212  1 Mg 2.76, 4 Cd 2.84-2.95, 3 Tm 2.89
Pd4 0.8738 0.8738 0.8738  4 Cd 2.80-2.86, 3 Mg 2.85, 1 Tm 2.87

Its final energy is -4.25 eV/atom. The formation energy comes out at -663 meV/atom. Its space group is R-3m. The calculation puts the density of states at the Fermi level at 3.107 states/eV/f.u.

---

DFT (PBE) results for a relaxed structure of InAgIO2.

Cell: 4.1334 4.1334 6.5084 Å, 90.00 90.00 90.00°
With the nearest neighbours (Å) after each atom.
Atoms (fractional coordinates):
In1 0.0000 0.0000 0.0000  4 O 2.07
Ag1 0.5000 0.5000 0.5000  4 I 2.92
I1 0.0000 0.0000 0.5000  4 Ag 2.92, 2 In 3.25
O1 0.0000 0.5000 0.0000  2 In 2.07
O2 0.5000 0.0000 0.0000  2 In 2.07

Its final energy is -3.69 eV/atom. As for the relative energy among the computed polymorphs: 0 meV/atom. For the formation energy without anion corrections, the calculation gives -0.28 eV per atom. Its space group is P4/mmm. The calculation puts the density of states at the Fermi level at 2.664 states/eV/f.u.

---

DFT (PBE) results for a relaxed structure of Pu4AsIr.

Cell: 8.5524 5.1383 5.1993 Å, 90.00 103.86 90.00°
With the nearest neighbours (Å) after each atom.
Atoms (fractional coordinates):
Pu1 0.1527 0.0000 0.0226  2 Pu 2.33-2.57
Pu2 0.1778 0.5000 0.5542  1 Pu 2.33
Pu3 0.3222 0.0000 0.4458  1 Pu 2.33
Pu4 0.3473 0.5000 0.9774  2 Pu 2.33-2.57
Pu5 0.6527 0.5000 0.0226  2 Pu 2.33-2.57
Pu6 0.6778 0.0000 0.5542  1 Pu 2.33
Pu7 0.8222 0.5000 0.4458  1 Pu 2.33
Pu8 0.8473 0.0000 0.9774  2 Pu 2.33-2.57
As1 0.0000 0.5000 0.0000  10 Pu 2.87-3.06
As2 0.5000 0.0000 0.0000  10 Pu 2.87-3.06
Ir1 0.0000 0.0000 0.5000  8 Pu 2.72-2.96
Ir2 0.5000 0.5000 0.5000  8 Pu 2.72-2.96

Its final energy is -11.84 eV/atom. The formation energy comes out at -38 meV/atom. Its space group is C2/m. The calculation puts the density of states at the Fermi level at 16.025 states/eV/f.u.

---

DFT (PBE) results for a relaxed structure of BaBe4Mo.

Cell: 4.9222 4.9222 4.9222 Å, 60.00 60.00 60.00°
With the nearest neighbours (Å) after each atom.
Atoms (fractional coordinates):
Ba1 0.0000 0.0000 0.0000  12 Be 2.90, 4 Mo 3.01
Be1 0.1471 0.6176 0.6176  3 Be 2.32
Be2 0.6176 0.1471 0.6176  3 Be 2.32
Be3 0.6176 0.6176 0.1471  3 Be 2.32
Be4 0.6176 0.6176 0.6176  3 Be 2.32
Mo1 0.2500 0.2500 0.2500  12 Be 2.87, 4 Ba 3.01

Its final energy is -3.90 eV/atom. The formation energy comes out at 706 meV/atom. Its space group is F-43m. The calculation puts the density of states at the Fermi level at 4.806 states/eV/f.u.

---

DFT (PBE) results for a relaxed structure of Ac3TlRuBr.

Cell: 9.0336 4.4239 10.5649 Å, 90.00 91.68 90.00°
With the nearest neighbours (Å) after each atom.
Atoms (fractional coordinates):
Ac1 0.0747 0.2500 0.1823  2 Ru 2.91
Ac2 0.1792 0.7500 0.5098  3 Ru 3.00-3.10
Ac3 0.3544 0.2500 0.7954  1 Ru 2.81
Ac4 0.6456 0.7500 0.2046  1 Ru 2.81
Ac5 0.8208 0.2500 0.4902  3 Ru 3.00-3.10
Ac6 0.9253 0.7500 0.8177  2 Ru 2.91
Tl1 0.4432 0.2500 0.3892  2 Tl 3.36, 5 Ac 3.50-3.54
Tl2 0.5568 0.7500 0.6108  2 Tl 3.36, 5 Ac 3.50-3.54
Ru1 0.0659 0.2500 0.6885  6 Ac 2.81-3.10
Ru2 0.9341 0.7500 0.3115  6 Ac 2.81-3.10
Br1 0.3239 0.7500 0.0297  5 Ac 3.34-3.57
Br2 0.6761 0.2500 0.9703  5 Ac 3.34-3.57

Its final energy is -4.89 eV/atom. For the formation energy without anion corrections, the calculation gives -0.62 eV per atom. Its space group is P2_1/m. The calculation puts the density of states at the Fermi level at 3.081 states/eV/f.u.

---

DFT (PBE) results for a relaxed structure of CuNiRh2.

Cell: 2.8037 4.3047 8.5750 Å, 90.00 90.00 90.00°
With the nearest neighbours (Å) after each atom.
Atoms (fractional coordinates):
Cu1 0.0000 0.0000 0.0000  2 Ni 2.45, 6 Rh 2.57-2.62
Cu2 0.5000 0.5000 0.5000  2 Ni 2.45, 6 Rh 2.57-2.62
Ni1 0.0000 0.5000 0.2658  2 Cu 2.45, 6 Rh 2.53-2.57
Ni2 0.5000 0.0000 0.7658  2 Cu 2.45, 6 Rh 2.53-2.57
Rh1 0.0000 0.0000 0.5200  2 Ni 2.53, 4 Cu 2.57, 4 Rh 2.65-2.80
Rh2 0.0000 0.5000 0.7578  4 Ni 2.57, 2 Cu 2.62, 4 Rh 2.65-2.80
Rh3 0.5000 0.0000 0.2578  4 Ni 2.57, 2 Cu 2.62, 4 Rh 2.65-2.80
Rh4 0.5000 0.5000 0.0200  2 Ni 2.53, 4 Cu 2.57, 4 Rh 2.65-2.80

Its final energy is -6.03 eV/atom. The formation energy comes out at 120 meV/atom. Its space group is Imm2. The calculation puts the density of states at the Fermi level at 6.312 states/eV/f.u.

---

DFT (PBE) results for a relaxed structure of VCo.

Cell: 5.1114 5.1114 5.1114 Å, 90.00 90.00 90.00°
With the nearest neighbours (Å) after each atom.
Atoms (fractional coordinates):
V1 0.0000 0.0000 0.0000  4 Co 2.21
V2 0.0000 0.5000 0.5000  4 Co 2.21
V3 0.5000 0.0000 0.5000  4 Co 2.21
V4 0.5000 0.5000 0.0000  4 Co 2.21
Co1 0.2500 0.2500 0.7500  4 V 2.21
Co2 0.2500 0.7500 0.2500  4 V 2.21
Co3 0.7500 0.2500 0.2500  4 V 2.21
Co4 0.7500 0.7500 0.7500  4 V 2.21

Its final energy is -7.07 eV/atom. The formation energy comes out at 1047 meV/atom. Its space group is F-43m. The calculation puts the density of states at the Fermi level at 0.382 states/eV/f.u.

---

DFT (PBE) results for a relaxed structure of Tb3Ho2TmTe6.

Cell: 9.7282 9.7282 8.7414 Å, 103.29 103.29 25.69°
With the nearest neighbours (Å) after each atom.
Atoms (fractional coordinates):
Tb1 0.0000 0.0000 0.0000  6 Te 3.08-3.10
Tb2 0.3317 0.3317 0.6671  6 Te 3.08-3.11
Tb3 0.6683 0.6683 0.3329  6 Te 3.08-3.11
Ho1 0.3321 0.3321 0.1654  6 Te 3.05-3.09
Ho2 0.6679 0.6679 0.8346  6 Te 3.05-3.09
Tm1 0.0000 0.0000 0.5000  6 Te 3.03-3.05
Te1 0.1643 0.1643 0.5840  1 Tm 3.03, 2 Ho 3.07, 3 Tb 3.09
Te2 0.1668 0.1668 0.0810  3 Ho 3.05-3.06, 3 Tb 3.08
Te3 0.4995 0.4995 0.2543  2 Tm 3.05, 1 Ho 3.09, 3 Tb 3.10-3.11
Te4 0.5005 0.5005 0.7457  2 Tm 3.05, 1 Ho 3.09, 3 Tb 3.10-3.11
Te5 0.8332 0.8332 0.9190  3 Ho 3.05-3.06, 3 Tb 3.08
Te6 0.8357 0.8357 0.4160  1 Tm 3.03, 2 Ho 3.07, 3 Tb 3.09

Its final energy is -5.13 eV/atom. For the formation energy without anion corrections, the calculation gives -1.27 eV per atom. Its space group is C2/m. The calculation puts the density of states at the Fermi level at 6.319 states/eV/f.u.

---

DFT (PBE) results for a relaxed structure of Ti2NbPb.

Cell: 2.9878 4.9933 11.0944 Å, 90.00 90.00 90.00°
With the nearest neighbours (Å) after each atom.
Atoms (fractional coordinates):
Ti1 0.0000 0.0000 0.2475  1 Pb 2.75, 1 Nb 2.80, 6 Ti 2.91-2.99
Ti2 0.0000 0.0000 0.7525  1 Pb 2.75, 1 Nb 2.80, 6 Ti 2.91-2.99
Ti3 0.5000 0.5000 0.2525  1 Pb 2.75, 1 Nb 2.80, 6 Ti 2.91-2.99
Ti4 0.5000 0.5000 0.7475  1 Pb 2.75, 1 Nb 2.80, 6 Ti 2.91-2.99
Nb1 0.0000 0.0000 0.5000  2 Ti 2.80, 4 Pb 2.91, 2 Nb 2.99
Nb2 0.5000 0.5000 0.0000  2 Ti 2.80, 4 Pb 2.91, 2 Nb 2.99
Pb1 0.0000 0.0000 0.0000  2 Ti 2.75, 4 Nb 2.91, 2 Pb 2.99
Pb2 0.5000 0.5000 0.5000  2 Ti 2.75, 4 Nb 2.91, 2 Pb 2.99

Its final energy is -6.85 eV/atom. The formation energy comes out at 547 meV/atom. Its space group is Immm. The calculation puts the density of states at the Fermi level at 3.783 states/eV/f.u.

---

no.,total moment (μB per formula unit)
1,0.0
2,24.0
3,0.0
4,0.0
5,0.0
6,3.4
7,0.0
8,0.0
9,0.0
10,0.0
11,0.0
12,0.0